# ReSbCI2, relaxed, DFT PBE-GGA
# Formation energy without anion corrections in eV/atom: 2.023
# Density in g/cm³: 9.25
# Total magnetic moment in μB per formula unit: 0.0
# Uncorrected energy in eV per atom: -3.7563
# Volume in Å³ per atom: 20.611
data_ReSbCI2
_chemical_formula_sum 'Re1 Sb1 C1 I2'
_space_group_name_H-M_alt 'P 4/m m m'
_space_group_IT_number 123
_space_group_name_Hall '-P 4 2'
_cell_length_a 4.739
_cell_length_b 4.739
_cell_length_c 4.589
_cell_angle_alpha 90.00
_cell_angle_beta 90.00
_cell_angle_gamma 90.00
loop_
_atom_site_label
_atom_site_type_symbol
_atom_site_fract_x
_atom_site_fract_y
_atom_site_fract_z
_atom_site_occupancy
Re1 Re 0.000 0.000 0.000 1
Sb1 Sb 0.500 0.500 0.000 1
C1 C 0.500 0.500 0.500 1
I1 I 0.000 0.500 0.500 1